No. 1
A plane-wave DFT calculation with PBE+U was carried out for an optimized crystal structure of BeMoF2.

The energy above the lowest structure with this stoichiometry is 2.114 eV/f.u. Its total energy is -17.7 eV/f.u.

Cell: 2.8062 2.8062 29.0592 Å, 90.00 90.00 120.00°
Space group R-3m (No. 166, hexagonal axes)
Asymmetric unit:
1 Be 0.0000 0.0000 0.0000 x3
2 Mo 0.0000 0.0000 0.5000 x3
3 F 0.0000 0.0000 0.0474 x6


No. 2
A plane-wave DFT calculation with PBE+U was carried out for an optimized crystal structure of Be2MoF.

The energy above the lowest structure with this stoichiometry is 5.180 eV/f.u. Its total energy is -13.6 eV/f.u.

Cell: 5.782 5.782 5.782 Å, 90.00 90.00 90.00°
Space group Fm-3m (No. 225)
Asymmetric unit:
1 Be 0.250 0.250 0.250 x8
2 Mo 0.000 0.000 0.000 x4
3 F 0.000 0.000 0.500 x4


No. 3
A plane-wave DFT calculation with PBE+U was carried out for an optimized crystal structure of Be2MoF.

The energy above the lowest structure with this stoichiometry is 3.178 eV/f.u. Its total energy is -15.6 eV/f.u.

Cell: 5.184 5.184 6.863 Å, 90.00 90.00 90.00°
Space group I-42d (No. 122)
Asymmetric unit:
1 Be 0.131 0.250 0.125 x8
2 Mo 0.000 0.000 0.500 x4
3 F 0.000 0.000 0.000 x4


Question: Which formula does entry 2 have?
Answer: Be2MoF


Question: The lowest total energy belongs to which entry?
Answer: BeMoF2


Question: Number 2 is which compound?
Answer: Be2MoF


Question: Look up the energy above the lowest structure with this stoichiometry of the first one.
Answer: 2.114 eV/f.u.